An optimized crystal structure of UBePt. Source: the Open Quantum Materials Database, functional PBE.

abc: 4.5175 4.5175 4.5175
angles: 60.00 60.00 60.00
Closest atoms and distances in Å follow each position.
Fractional positions:
U 0.0000 0.0000 0.0000  4 Be 2.77, 4 Pt 2.77
Be 0.7500 0.7500 0.7500  4 U 2.77
Pt 0.2500 0.2500 0.2500  4 U 2.77

Properties
The calculated total energy comes out at -6.43 eV/atom. The calculation puts the excess energy over the best structure of this formula in the dataset at 164.8 kJ/mol of formula units. As for the space group: F-43m, No. 216.